VASP calculation (PBE) on BaSb2P after structural relaxation.

Output
Raw formation energy = -0.3248 eV per atom
Total DFT energy (no corrections) = -4.219 eV/atom

abc: 6.277 6.277 6.277
angles: 144.67 126.50 65.76
Fractional coordinates of all 4 atoms:
Ba 0.000 0.000 0.000
Sb 0.298 0.798 0.500
Sb 0.702 0.202 0.500
P 0.500 0.500 0.000

=====

VASP calculation (PBE) on Ba12Sb3P5 after structural relaxation.

Output
Raw formation energy = -0.9109 eV per atom
Total DFT energy (no corrections) = -4.035 eV/atom

abc: 16.917 16.917 16.917
angles: 109.47 109.47 109.47
Fractional coordinates of all 80 atoms:
Ba 0.036 0.212 0.128
Ba 0.036 0.324 0.909
Ba 0.084 0.712 0.676
Ba 0.084 0.872 0.409
Ba 0.091 0.628 0.416
Ba 0.091 0.964 0.676
Ba 0.128 0.036 0.212
Ba 0.128 0.591 0.916
Ba 0.176 0.212 0.584
Ba 0.176 0.464 0.591
Ba 0.212 0.128 0.036
Ba 0.212 0.584 0.176
Ba 0.288 0.324 0.916
Ba 0.288 0.464 0.372
Ba 0.324 0.909 0.036
Ba 0.324 0.916 0.288
Ba 0.372 0.288 0.464
Ba 0.372 0.584 0.909
Ba 0.409 0.084 0.872
Ba 0.409 0.824 0.536
Ba 0.416 0.091 0.628
Ba 0.416 0.824 0.788
Ba 0.464 0.372 0.288
Ba 0.464 0.591 0.176
Ba 0.536 0.409 0.824
Ba 0.536 0.628 0.712
Ba 0.584 0.176 0.212
Ba 0.584 0.909 0.372
Ba 0.591 0.176 0.464
Ba 0.591 0.916 0.128
Ba 0.628 0.416 0.091
Ba 0.628 0.712 0.536
Ba 0.676 0.084 0.712
Ba 0.676 0.091 0.964
Ba 0.712 0.536 0.628
Ba 0.712 0.676 0.084
Ba 0.788 0.416 0.824
Ba 0.788 0.872 0.964
Ba 0.824 0.536 0.409
Ba 0.824 0.788 0.416
Ba 0.872 0.409 0.084
Ba 0.872 0.964 0.788
Ba 0.909 0.036 0.324
Ba 0.909 0.372 0.584
Ba 0.916 0.128 0.591
Ba 0.916 0.288 0.324
Ba 0.964 0.676 0.091
Ba 0.964 0.788 0.872
Sb 0.125 0.250 0.375
Sb 0.125 0.375 0.750
Sb 0.250 0.375 0.125
Sb 0.250 0.875 0.625
Sb 0.375 0.125 0.250
Sb 0.375 0.750 0.125
Sb 0.625 0.250 0.875
Sb 0.625 0.875 0.750
Sb 0.750 0.125 0.375
Sb 0.750 0.625 0.875
Sb 0.875 0.625 0.250
Sb 0.875 0.750 0.625
P 0.000 0.000 0.000
P 0.000 0.000 0.500
P 0.000 0.500 0.000
P 0.000 0.500 0.500
P 0.125 0.750 0.875
P 0.125 0.875 0.250
P 0.250 0.125 0.875
P 0.250 0.625 0.375
P 0.375 0.250 0.625
P 0.375 0.625 0.750
P 0.500 0.000 0.000
P 0.500 0.000 0.500
P 0.500 0.500 0.000
P 0.500 0.500 0.500
P 0.625 0.375 0.250
P 0.625 0.750 0.375
P 0.750 0.375 0.625
P 0.750 0.875 0.125
P 0.875 0.125 0.750
P 0.875 0.250 0.125

=====

VASP calculation (PBE) on BaSbP after structural relaxation.

Output
Raw formation energy = -0.6059 eV per atom
Total DFT energy (no corrections) = -4.424 eV/atom
Excess energy over the best structure of this formula in the dataset = 0.133 eV/atom

abc: 4.747 4.747 4.827
angles: 90.00 90.00 120.00
Fractional coordinates of all 3 atoms:
Ba 0.000 0.000 0.000
Sb 0.333 0.667 0.521
P 0.667 0.333 0.438

=====

VASP calculation (PBE) on BaSb2P after structural relaxation.

Output
Raw formation energy = -0.1718 eV per atom
Total DFT energy (no corrections) = -4.066 eV/atom

abc: 3.600 3.600 9.089
angles: 90.00 90.00 90.00
Fractional coordinates of all 4 atoms:
Ba 0.000 0.000 0.000
Sb 0.000 0.000 0.391
Sb 0.500 0.500 0.719
P 0.500 0.500 0.260